Record 1
Here is NpBAs after structural relaxation from the Open Quantum Materials Database. Energies are from PBE-GGA.

## Properties
- E above lowest polymorph: 0.00 kJ per mole of atoms
- Space group: F-43m (216)
- Size of the total moment: 3.91 μB per cell

Lattice parameters (Å, degrees): 4.142 4.142 4.142 60.00 60.00 60.00
Atoms (fractional coordinates):
Np 0.000 0.000 0.000
B 0.750 0.750 0.750
As 0.500 0.500 0.500



Record 2
Here is HfMoPd after structural relaxation from the Open Quantum Materials Database. Energies are from PBE-GGA.

## Properties
- E above lowest polymorph: 26.36 kJ per mole of atoms
- Space group: F-43m (216)
- Size of the total moment: 2.29 μB per cell

Lattice parameters (Å, degrees): 4.404 4.404 4.404 60.00 60.00 60.00
Atoms (fractional coordinates):
Hf 0.000 0.000 0.000
Mo 0.750 0.750 0.750
Pd 0.250 0.250 0.250



Record 3
Here is Ho2AuS2 after structural relaxation from the Open Quantum Materials Database. Energies are from PBE-GGA.

## Properties
- Space group: Fddd (70)
- Size of the total moment: 0.02 μB per cell
- Calculated total energy: -46.4 eV/cell

Lattice parameters (Å, degrees): 9.385 7.653 7.047 79.23 53.24 47.53
Atoms (fractional coordinates):
Ho 0.102 0.648 0.102
Ho 0.352 0.898 0.352
Ho 0.648 0.102 0.648
Ho 0.898 0.352 0.898
Au 0.375 0.375 0.375
Au 0.625 0.625 0.625
S 0.000 0.500 0.500
S 0.500 0.000 0.500
S 0.500 0.500 0.000
S 0.500 0.500 0.500



Record 4
Here is DyTmMg6 after structural relaxation from the Open Quantum Materials Database. Energies are from PBE-GGA.

## Properties
- Space group: Amm2 (38)
- Size of the total moment: 0.01 μB per cell
- Calculated total energy: -18.8 eV/cell

Lattice parameters (Å, degrees): 5.059 6.527 6.527 68.08 90.00 90.00
Atoms (fractional coordinates):
Dy 0.000 0.000 0.000
Tm 0.500 0.257 0.257
Mg 0.000 0.457 0.457
Mg 0.000 0.513 0.945
Mg 0.000 0.945 0.513
Mg 0.500 0.312 0.743
Mg 0.500 0.743 0.312
Mg 0.500 0.799 0.799



Record 5
Here is Nb2Tl2S5 after structural relaxation from the Open Quantum Materials Database. Energies are from PBE-GGA.

## Properties
- Space group: C2/c (15)
- Size of the total moment: 0.01 μB per cell
- Calculated total energy: -103.9 eV/cell

Lattice parameters (Å, degrees): 6.338 6.338 12.023 104.22 104.22 74.92
Atoms (fractional coordinates):
Nb 0.079 0.709 0.547
Nb 0.291 0.921 0.953
Nb 0.709 0.079 0.047
Nb 0.921 0.291 0.453
Tl 0.141 0.456 0.189
Tl 0.456 0.141 0.689
Tl 0.544 0.859 0.311
Tl 0.859 0.544 0.811
S 0.058 0.858 0.381
S 0.142 0.942 0.119
S 0.281 0.344 0.466
S 0.294 0.706 0.750
S 0.344 0.281 0.966
S 0.656 0.719 0.034
S 0.706 0.294 0.250
S 0.719 0.656 0.534
S 0.858 0.058 0.881
S 0.942 0.142 0.619



Record 6
Here is Y2Sc4Cu3C3 after structural relaxation from the Open Quantum Materials Database. Energies are from PBE-GGA.

## Properties
- Space group: C2/c (15)
- Size of the total moment: 0.00 μB per cell
- Calculated total energy: -162.0 eV/cell

Lattice parameters (Å, degrees): 5.891 5.891 13.857 102.43 102.43 59.98
Atoms (fractional coordinates):
Y 0.038 0.873 0.613
Y 0.127 0.962 0.887
Y 0.873 0.038 0.113
Y 0.962 0.127 0.387
Sc 0.196 0.359 0.086
Sc 0.301 0.475 0.414
Sc 0.359 0.196 0.586
Sc 0.475 0.301 0.914
Sc 0.525 0.699 0.086
Sc 0.641 0.804 0.414
Sc 0.699 0.525 0.586
Sc 0.804 0.641 0.914
Cu 0.084 0.422 0.750
Cu 0.408 0.592 0.250
Cu 0.422 0.084 0.250
Cu 0.578 0.916 0.750
Cu 0.592 0.408 0.750
Cu 0.916 0.578 0.250
C 0.000 0.500 0.500
C 0.169 0.661 0.000
C 0.339 0.831 0.500
C 0.500 0.000 0.000
C 0.661 0.169 0.500
C 0.831 0.339 0.000